[1]
A relaxed BaAc2Sb crystal, computed with GGA-PBE.

Output
- Formation energy from raw total energies: -0.378 eV per atom
- Energy relative to the lowest polymorph listed for this composition: 55 meV per atom
- E: -3.94 eV/atom
- Fermi-level density of states: 6.0 states/eV/cell

Cell: 5.379 5.379 5.254 Å, 90.00 90.00 90.00°
Space group P4/mmm (No. 123)
Asymmetric unit:
Ba  0.000  0.000  0.000 x1
Ac  0.000  0.500  0.500 x2
Sb  0.500  0.500  0.000 x1

[2]
A relaxed BaAcSbSe crystal, computed with GGA-PBE.

Output
- Formation energy from raw total energies: -1.508 eV per atom
- E: -4.92 eV/atom

Cell: 4.6929 4.6929 24.5056 Å, 90.00 90.00 120.00°
Space group R3m (No. 160, hexagonal axes)
Asymmetric unit:
Ba  0.0000  0.0000  0.0000 x3
Ac  0.0000  0.0000  0.1687 x3
Sb  0.0000  0.0000  0.5795 x3
Se  0.0000  0.0000  0.7599 x3

[3]
A relaxed BaAcTlSb crystal, computed with GGA-PBE.

Output
- Formation energy from raw total energies: -0.554 eV per atom
- E: -3.68 eV/atom
- Fermi-level density of states: 17.0 states/eV/cell

Cell: 8.349 8.349 8.349 Å, 90.00 90.00 90.00°
Space group F-43m (No. 216)
Asymmetric unit:
Ba  0.000  0.000  0.000 x4
Ac  0.000  0.000  0.500 x4
Tl  0.250  0.250  0.250 x4
Sb  0.250  0.250  0.750 x4

[4]
A relaxed Ba2AcScSe5 crystal, computed with GGA-PBE.

Output
- Formation energy from raw total energies: -1.933 eV per atom
- E: -5.46 eV/atom
- Fermi-level density of states: 0.0 states/eV/cell

Cell: 4.565 18.474 13.773 Å, 90.00 90.00 90.00°
Space group Cmc2_1 (No. 36)
Asymmetric unit:
Ba  0.000  0.104  0.000 x4
Ba  0.000  0.136  0.620 x4
Ac  0.000  0.212  0.326 x4
Sc  0.000  0.474  0.760 x4
Se  0.000  0.045  0.352 x4
Se  0.000  0.282  0.978 x4
Se  0.000  0.330  0.684 x4
Se  0.000  0.379  0.309 x4
Se  0.000  0.489  0.081 x4

[5]
A relaxed Ba3Ac4Se8 crystal, computed with GGA-PBE.

Output
- Formation energy from raw total energies: -1.952 eV per atom
- E: -5.29 eV/atom
- Fermi-level density of states: 9.6 states/eV/cell

Cell: 12.885 12.930 9.088 Å, 90.00 134.47 90.00°
Space group C2/m (No. 12)
Asymmetric unit:
Ba  0.000  0.000  0.000 x2
Ba  0.250  0.250  0.000 x4
Ac  0.000  0.500  0.000 x2
Ac  0.000  0.500  0.500 x2
Ac  0.250  0.250  0.500 x4
Se  0.000  0.255  0.000 x4
Se  0.000  0.258  0.500 x4
Se  0.231  0.500  0.978 x4
Se  0.239  0.500  0.489 x4

[6]
A relaxed Ba2AcSe3 crystal, computed with GGA-PBE.

Output
- Formation energy from raw total energies: -1.990 eV per atom
- Energy relative to the lowest polymorph listed for this composition: 0 meV per atom
- E: -5.06 eV/atom
- Fermi-level density of states: 5.3 states/eV/cell

Cell: 7.994 13.833 8.020 Å, 90.00 109.40 90.00°
Space group C2/m (No. 12)
Asymmetric unit:
Ba  0.000  0.000  0.000 x2
Ba  0.000  0.164  0.500 x4
Ba  0.000  0.500  0.500 x2
Ac  0.000  0.333  0.000 x4
Se  0.234  0.500  0.235 x4
Se  0.248  0.328  0.762 x8

[7]
A relaxed Ba4AcSe5 crystal, computed with GGA-PBE.

Output
- Formation energy from raw total energies: -2.010 eV per atom
- E: -4.93 eV/atom
- Fermi-level density of states: 5.6 states/eV/cell

Cell: 10.419 10.419 6.584 Å, 90.00 90.00 90.00°
Space group I4/m (No. 87)
Asymmetric unit:
Ba  0.097  0.301  0.000 x8
Ac  0.000  0.000  0.500 x2
Se  0.000  0.000  0.000 x2
Se  0.096  0.288  0.500 x8

[8]
A relaxed Ba2AcSe3 crystal, computed with GGA-PBE.

Output
- Formation energy from raw total energies: -1.981 eV per atom
- Energy relative to the lowest polymorph listed for this composition: 9 meV per atom
- E: -5.05 eV/atom
- Fermi-level density of states: 4.0 states/eV/cell

Cell: 4.607 6.523 13.905 Å, 90.00 90.00 90.00°
Space group Immm (No. 71)
Asymmetric unit:
Ba  0.000  0.000  0.169 x4
Ac  0.000  0.000  0.500 x2
Se  0.000  0.500  0.156 x4
Se  0.000  0.500  0.500 x2

[9]
A relaxed BaAc2Se3 crystal, computed with GGA-PBE.

Output
- Formation energy from raw total energies: -1.912 eV per atom
- E: -5.34 eV/atom
- Fermi-level density of states: 6.6 states/eV/cell

Cell: 4.5053 4.5053 22.6398 Å, 90.00 90.00 120.00°
Space group P6_3/mmc (No. 194)
Asymmetric unit:
Ba  0.0000  0.0000  0.2500 x2
Ac  0.3333  0.6667  0.0791 x4
Se  0.0000  0.0000  0.0000 x2
Se  0.3333  0.6667  0.6590 x4

[10]
A relaxed Ba4Ac3Se8 crystal, computed with GGA-PBE.

Output
- Formation energy from raw total energies: -1.934 eV per atom
- E: -5.13 eV/atom
- Fermi-level density of states: 6.8 states/eV/cell

Cell: 12.895 12.969 9.149 Å, 90.00 134.49 90.00°
Space group C2/m (No. 12)
Asymmetric unit:
Ba  0.000  0.000  0.000 x2
Ba  0.000  0.500  0.500 x2
Ba  0.250  0.250  0.000 x4
Ac  0.000  0.500  0.000 x2
Ac  0.250  0.250  0.500 x4
Se  0.000  0.250  0.500 x4
Se  0.000  0.255  0.000 x4
Se  0.238  0.500  0.994 x4
Se  0.246  0.500  0.487 x4

[11]
A relaxed BaAc6Se8 crystal, computed with GGA-PBE.

Output
- Formation energy from raw total energies: -1.910 eV per atom
- E: -5.54 eV/atom
- Fermi-level density of states: 15.7 states/eV/cell

Cell: 12.644 12.644 12.644 Å, 90.00 90.00 90.00°
Space group Fm-3m (No. 225)
Asymmetric unit:
Ba  0.000  0.000  0.000 x4
Ac  0.000  0.250  0.250 x24
Se  0.000  0.000  0.256 x24
Se  0.250  0.250  0.250 x8

[12]
A relaxed Ba5Ac3Se8 crystal, computed with GGA-PBE.

Output
- Formation energy from raw total energies: -1.982 eV per atom
- E: -5.10 eV/atom
- Fermi-level density of states: 10.2 states/eV/cell

Cell: 9.1961 9.1961 22.6732 Å, 90.00 90.00 120.00°
Space group R-3m (No. 166, hexagonal axes)
Asymmetric unit:
Ba  0.0000  0.0000  0.0000 x3
Ba  0.0000  0.0000  0.5000 x3
Ba  0.0000  0.5000  0.0000 x9
Ac  0.0000  0.5000  0.5000 x9
Se  0.0000  0.0000  0.2445 x6
Se  0.0086  0.5043  0.7543 x18

[13]
A relaxed BaAc2Se3 crystal, computed with GGA-PBE.

Output
- Formation energy from raw total energies: -1.914 eV per atom
- E: -5.35 eV/atom
- Fermi-level density of states: 4.9 states/eV/cell

Cell: 4.514 6.404 13.680 Å, 90.00 90.00 90.00°
Space group Immm (No. 71)
Asymmetric unit:
Ba  0.000  0.000  0.000 x2
Ac  0.000  0.000  0.336 x4
Se  0.000  0.500  0.000 x2
Se  0.000  0.500  0.326 x4

[14]
A relaxed Ba3AcSe4 crystal, computed with GGA-PBE.

Output
- Formation energy from raw total energies: -2.002 eV per atom
- E: -4.98 eV/atom
- Fermi-level density of states: 5.9 states/eV/cell

Cell: 9.309 13.128 4.635 Å, 90.00 90.00 90.00°
Space group Cmmm (No. 65)
Asymmetric unit:
Ba  0.000  0.000  0.000 x2
Ba  0.250  0.250  0.500 x4
Ac  0.000  0.500  0.000 x2
Se  0.000  0.258  0.000 x4
Se  0.237  0.500  0.500 x4

[15]
A relaxed BaAc5Se6 crystal, computed with GGA-PBE.

Output
- Formation energy from raw total energies: -1.887 eV per atom
- E: -5.50 eV/atom
- Fermi-level density of states: 14.4 states/eV/cell

Cell: 7.787 13.490 7.798 Å, 90.00 109.37 90.00°
Space group C2/m (No. 12)
Asymmetric unit:
Ba  0.000  0.000  0.000 x2
Ac  0.000  0.163  0.500 x4
Ac  0.000  0.333  0.000 x4
Ac  0.000  0.500  0.500 x2
Se  0.244  0.500  0.251 x4
Se  0.245  0.330  0.744 x8

[16]
A relaxed Ba3AcSm3Se8 crystal, computed with GGA-PBE.

Output
- Formation energy from raw total energies: -1.932 eV per atom
- E: -5.39 eV/atom
- Fermi-level density of states: 11.3 states/eV/cell

Cell: 8.6850 8.6850 22.6001 Å, 90.00 90.00 120.00°
Space group R-3m (No. 166, hexagonal axes)
Asymmetric unit:
Ba  0.0000  0.5000  0.0000 x9
Ac  0.0000  0.0000  0.5000 x3
Sm  0.0000  0.5000  0.5000 x9
Se  0.0000  0.0000  0.2397 x6
Se  0.0139  0.5069  0.7589 x18

[17]
A relaxed Ba3AcSm2Se6 crystal, computed with GGA-PBE.

Output
- Formation energy from raw total energies: -1.916 eV per atom
- E: -5.27 eV/atom
- Fermi-level density of states: 9.6 states/eV/cell

Cell: 7.674 13.279 7.882 Å, 90.00 108.98 90.00°
Space group C2/m (No. 12)
Asymmetric unit:
Ba  0.000  0.000  0.000 x2
Ba  0.000  0.336  0.000 x4
Ac  0.000  0.500  0.500 x2
Sm  0.000  0.167  0.500 x4
Se  0.229  0.000  0.721 x4
Se  0.247  0.328  0.724 x8

[18]
A relaxed BaAcSm2Se4 crystal, computed with GGA-PBE.

Output
- Formation energy from raw total energies: -1.859 eV per atom
- E: -5.54 eV/atom
- Fermi-level density of states: 3.4 states/eV/cell

Cell: 7.533 4.314 7.633 Å, 90.00 108.80 90.00°
Space group P2/m (No. 10)
Asymmetric unit:
Ba  0.000  0.000  0.000 x1
Ac  0.500  0.500  0.000 x1
Sm  0.000  0.500  0.500 x1
Sm  0.500  0.000  0.500 x1
Se  0.247  0.000  0.727 x2
Se  0.264  0.500  0.276 x2

[19]
A relaxed Ba3SrAc2Se6 crystal, computed with GGA-PBE.

Output
- Formation energy from raw total energies: -1.990 eV per atom
- E: -5.04 eV/atom
- Fermi-level density of states: 5.3 states/eV/cell

Cell: 7.907 13.686 7.975 Å, 90.00 109.28 90.00°
Space group C2/m (No. 12)
Asymmetric unit:
Ba  0.000  0.000  0.000 x2
Ba  0.000  0.334  0.000 x4
Sr  0.000  0.500  0.500 x2
Ac  0.000  0.167  0.500 x4
Se  0.244  0.000  0.732 x4
Se  0.244  0.333  0.733 x8

[20]
A relaxed Ba3Sr2AcSe6 crystal, computed with GGA-PBE.

Output
- Formation energy from raw total energies: -2.019 eV per atom
- E: -4.87 eV/atom
- Fermi-level density of states: 7.7 states/eV/cell

Cell: 7.913 13.708 7.979 Å, 90.00 109.29 90.00°
Space group C2/m (No. 12)
Asymmetric unit:
Ba  0.000  0.000  0.000 x2
Ba  0.000  0.332  0.000 x4
Sr  0.000  0.166  0.500 x4
Ac  0.000  0.500  0.500 x2
Se  0.243  0.334  0.733 x8
Se  0.247  0.000  0.734 x4

[21]
A relaxed BaAcTeSe crystal, computed with GGA-PBE.

Output
- Formation energy from raw total energies: -1.786 eV per atom
- Energy relative to the lowest polymorph listed for this composition: 0 meV per atom
- E: -4.95 eV/atom
- Fermi-level density of states: 5.6 states/eV/cell

Cell: 4.6741 4.6741 23.5104 Å, 90.00 90.00 120.00°
Space group R3m (No. 160, hexagonal axes)
Asymmetric unit:
Ba  0.0000  0.0000  0.0000 x3
Ac  0.0000  0.0000  0.4880 x3
Te  0.0000  0.0000  0.2394 x3
Se  0.0000  0.0000  0.7491 x3

[22]
A relaxed BaAcTeSe crystal, computed with GGA-PBE.

Output
- Formation energy from raw total energies: -1.536 eV per atom
- Energy relative to the lowest polymorph listed for this composition: 250 meV per atom
- E: -4.70 eV/atom
- Fermi-level density of states: 9.7 states/eV/cell

Cell: 8.063 8.063 8.063 Å, 90.00 90.00 90.00°
Space group F-43m (No. 216)
Asymmetric unit:
Ba  0.000  0.000  0.000 x4
Ac  0.000  0.000  0.500 x4
Te  0.250  0.250  0.250 x4
Se  0.250  0.250  0.750 x4